Entry 1:
# Mg2InHg (meta-GGA SCAN, single point on PBEsol structure)
data_Mg2InHg
_cell_length_a 3.3556
_cell_length_b 3.7621
_cell_length_c 6.7969
_cell_angle_alpha 90.00
_cell_angle_beta 90.00
_cell_angle_gamma 90.00
_space_group_name_H-M_alt 'P m m m'
_space_group_IT_number 47
loop_
_space_group_symop_operation_xyz
'x,y,z'
'-x,-y,-z'
'-x,-y,z'
'x,y,-z'
'x,-y,-z'
'-x,y,z'
'-x,y,-z'
'x,-y,z'
loop_
_atom_site_label
_atom_site_type_symbol
_atom_site_fract_x
_atom_site_fract_y
_atom_site_fract_z
Mg1 Mg 0.0000 0.0000 0.2345
In1 In 0.5000 0.5000 0.5000
Hg1 Hg 0.5000 0.5000 0.0000
# total magnetic moment	0.000	μB/f.u.

Entry 2:
# MgIn2Hg2 (meta-GGA SCAN, single point on PBEsol structure)
data_MgIn2Hg2
_cell_length_a 4.2919
_cell_length_b 4.2919
_cell_length_c 13.4720
_cell_angle_alpha 90.00
_cell_angle_beta 90.00
_cell_angle_gamma 90.00
_space_group_name_H-M_alt 'I 4/m m m'
_space_group_IT_number 139
_space_group_name_Hall '-I 4 2'
loop_
_atom_site_label
_atom_site_type_symbol
_atom_site_fract_x
_atom_site_fract_y
_atom_site_fract_z
Mg1 Mg 0.0000 0.0000 0.0000
In1 In 0.0000 0.5000 0.2500
Hg1 Hg 0.0000 0.0000 0.3996
# energy above the most stable polymorph in this dataset	8.7	kJ/mol of atoms
# total magnetic moment	0.000	μB/f.u.

Entry 3:
# MgIn2Hg (meta-GGA SCAN, single point on PBEsol structure)
data_MgIn2Hg
_cell_length_a 3.3350
_cell_length_b 3.3350
_cell_length_c 8.3699
_cell_angle_alpha 90.00
_cell_angle_beta 90.00
_cell_angle_gamma 90.00
_space_group_name_H-M_alt 'P 4/m m m'
_space_group_IT_number 123
_space_group_name_Hall '-P 4 2'
loop_
_atom_site_label
_atom_site_type_symbol
_atom_site_fract_x
_atom_site_fract_y
_atom_site_fract_z
Mg1 Mg 0.0000 0.0000 0.0000
In1 In 0.5000 0.5000 0.2479
Hg1 Hg 0.0000 0.0000 0.5000
# total magnetic moment	0.000	μB/f.u.

Entry 4:
# MgIn2Hg2 (meta-GGA SCAN, single point on PBEsol structure)
data_MgIn2Hg2
_cell_length_a 7.5431
_cell_length_b 7.5431
_cell_length_c 4.2610
_cell_angle_alpha 90.00
_cell_angle_beta 90.00
_cell_angle_gamma 90.00
_space_group_name_H-M_alt 'P 4/m b m'
_space_group_IT_number 127
_space_group_name_Hall '-P 4 2ab'
loop_
_atom_site_label
_atom_site_type_symbol
_atom_site_fract_x
_atom_site_fract_y
_atom_site_fract_z
Mg1 Mg 0.0000 0.0000 0.0000
In1 In 0.1607 0.3393 0.5000
Hg1 Hg 0.1447 0.6447 0.0000
# energy above the most stable polymorph in this dataset	0.0	kJ/mol of atoms
# total magnetic moment	0.000	μB/f.u.

Entry 5:
# Mg2InHg (meta-GGA SCAN, single point on PBEsol structure)
data_Mg2InHg
_cell_length_a 3.3840
_cell_length_b 4.3437
_cell_length_c 5.9868
_cell_angle_alpha 90.00
_cell_angle_beta 90.00
_cell_angle_gamma 90.00
_space_group_name_H-M_alt 'P m m 2'
_space_group_IT_number 25
loop_
_space_group_symop_operation_xyz
'x,y,z'
'-x,-y,z'
'-x,y,z'
'x,-y,z'
loop_
_atom_site_label
_atom_site_type_symbol
_atom_site_fract_x
_atom_site_fract_y
_atom_site_fract_z
Mg1 Mg 0.0000 0.0000 0.0000
Mg2 Mg 0.5000 0.5000 0.2829
In1 In 0.5000 0.5000 0.7772
Hg1 Hg 0.0000 0.0000 0.4864
# total magnetic moment	0.000	μB/f.u.

Entry 6:
# MgIn2Hg (meta-GGA SCAN, single point on PBEsol structure)
data_MgIn2Hg
_cell_length_a 3.3843
_cell_length_b 4.3184
_cell_length_c 6.3095
_cell_angle_alpha 90.00
_cell_angle_beta 90.00
_cell_angle_gamma 90.00
_space_group_name_H-M_alt 'P m m 2'
_space_group_IT_number 25
loop_
_space_group_symop_operation_xyz
'x,y,z'
'-x,-y,z'
'-x,y,z'
'x,-y,z'
loop_
_atom_site_label
_atom_site_type_symbol
_atom_site_fract_x
_atom_site_fract_y
_atom_site_fract_z
Mg1 Mg 0.0000 0.0000 0.0000
In1 In 0.0000 0.0000 0.4868
In2 In 0.5000 0.5000 0.7391
Hg1 Hg 0.5000 0.5000 0.2192
# total magnetic moment	0.000	μB/f.u.

Formation energy: -261 43 -46 -47 -182 -90 (meV/atom)